Pr15Sm4Mg: relaxed, PBE.

abc: 5.193 5.193 26.048
angles: 90.00 90.00 90.00
Positions (direct):
Sm1 0.000 0.000 0.197
Pr1 0.500 0.500 0.601
Pr2 0.500 0.000 0.298
Pr3 0.000 0.500 0.500
Pr4 0.000 0.500 0.903
Sm2 0.000 0.000 0.803
Pr5 0.500 0.000 0.500
Sm3 0.000 0.000 0.601
Sm4 0.000 0.000 0.399
Pr6 0.500 0.500 0.804
Pr7 0.500 0.000 0.702
Pr8 0.500 0.500 0.000
Mg1 0.000 0.000 0.000
Pr9 0.000 0.500 0.298
Pr10 0.000 0.500 0.097
Pr11 0.500 0.000 0.903
Pr12 0.500 0.000 0.097
Pr13 0.500 0.500 0.399
Pr14 0.500 0.500 0.196
Pr15 0.000 0.500 0.702

Values from the calculation:
* space-group type: P4/mmm
* ΔE_f: 8 meV per atom
* D(E_F): 1.452 states/eV/atom
* spin magnetization: 0.00 μB/f.u.